First-principles (PBE) data for a relaxed structure of Ho4TmCu5, as listed in Alexandria via LeMat-Bulk.

Results
Calculated formation energy = -6.33 kcal/mol of atoms
V = 20.4 Å³ per atom
DOS at the Fermi energy = 0.38 states/eV per atom

a = 3.424 Å, b = 3.424 Å, c = 17.401 Å
α = 90.00°, β = 90.00°, γ = 90.00°
Element x y z (fractional)
Ho 0.000 0.000 0.400
Cu 0.500 0.500 0.098
Cu 0.500 0.500 0.701
Cu 0.500 0.500 0.902
Ho 0.000 0.000 0.801
Cu 0.500 0.500 0.299
Ho 0.000 0.000 0.199
Cu 0.500 0.500 0.500
Ho 0.000 0.000 0.600
Tm 0.000 0.000 0.000